# 1
# PrNd2Cd5

A relaxed structure of PrNd2Cd5 (PBE-GGA, Alexandria via LeMat-Bulk).

Cell: 8.6107 8.6107 8.6107 Å, 144.46 144.46 51.14°
With the nearest neighbours (Å) after each atom.
Element x y z (fractional)
Pr 0.0000 0.0000 0.0000  8 Cd 3.21
Nd 0.2651 0.2651 0.0000  8 Cd 3.19-3.48
Nd 0.7349 0.7349 0.0000  8 Cd 3.19-3.48
Cd 0.1182 0.6182 0.5000  4 Nd 3.19-3.48, 2 Cd 3.21, 2 Pr 3.21
Cd 0.3818 0.8818 0.5000  4 Nd 3.19-3.48, 2 Cd 3.21, 2 Pr 3.21
Cd 0.5000 0.5000 0.0000  8 Cd 3.21
Cd 0.6182 0.1182 0.5000  4 Nd 3.19-3.48, 2 Cd 3.21, 2 Pr 3.21
Cd 0.8818 0.3818 0.5000  4 Nd 3.19-3.48, 2 Cd 3.21, 2 Pr 3.21

# 2
# Cr4CdNi2

A relaxed structure of Cr4CdNi2 (PBE-GGA, Alexandria via LeMat-Bulk).

Cell: 7.0636 7.0636 7.0636 Å, 139.69 139.69 58.32°
With the nearest neighbours (Å) after each atom.
Element x y z (fractional)
Cr 0.0000 0.5000 0.5000  2 Cd 2.43, 4 Ni 2.69
Cr 0.2171 0.2171 0.0000  1 Ni 2.35
Cr 0.5000 0.0000 0.5000  2 Cd 2.43, 4 Ni 2.69
Cr 0.7829 0.7829 0.0000  1 Ni 2.35
Cd 0.0000 0.0000 0.0000  6 Cr 2.43-2.68
Ni 0.4076 0.4076 0.0000  1 Ni 2.28, 1 Cr 2.35
Ni 0.5924 0.5924 0.0000  1 Ni 2.28, 1 Cr 2.35

| no. | energy relative to the elements (kcal/mol of atoms) |
| --- | --- |
| 1 | -7.350 |
| 2 | 34.346 |